[1]
{"formula": "Li4NiRu", "functional": "GGA-PBE", "state": "relaxed", "lattice_angstrom": [[0.0000, 3.3221, 3.3221], [3.3221, 0.0000, 3.3221], [3.3221, 3.3221, 0.0000]], "species": ["Li", "Li", "Li", "Li", "Ni", "Ru"], "frac_coords": [[0.1253, 0.1253, 0.1253], [0.1253, 0.1253, 0.6240], [0.1253, 0.6240, 0.1253], [0.6240, 0.1253, 0.1253], [0.7500, 0.7500, 0.7500], [0.5000, 0.5000, 0.5000]], "dos_at_fermi_per_ev_atom": 1.1624, "final_energy_ev_per_atom": -3.4338, "m_tot_mub_per_fu": 1.38, "sg": "F-43m (216)", "delta_e_f_ev_per_atom": 0.3516}

[2]
{"formula": "LiNiRu2", "functional": "GGA-PBE", "state": "relaxed", "lattice_angstrom": [[-1.3244, 2.1088, 4.8917], [1.3244, -2.1088, 4.8917], [1.3244, 2.1088, -4.8917]], "species": ["Li", "Ni", "Ru", "Ru"], "frac_coords": [[0.0000, 0.0000, 0.0000], [0.5000, 0.5000, 0.0000], [0.2869, 0.7869, 0.5000], [0.7131, 0.2131, 0.5000]], "dos_at_fermi_per_ev_atom": 0.8197, "polymorph_energy_ev_per_atom": 0.002, "final_energy_ev_per_atom": -6.4252, "m_tot_mub_per_fu": 0.00, "sg": "Immm (71)", "delta_e_f_ev_per_atom": 0.1365}

[3]
{"formula": "LiNiRu2", "functional": "GGA-PBE", "state": "relaxed", "lattice_angstrom": [[2.7580, 0.0000, 0.0000], [0.0000, 4.3304, 0.0000], [0.0000, 0.0000, 4.3470]], "species": ["Li", "Ni", "Ru", "Ru"], "frac_coords": [[0.0000, 0.0000, 0.0000], [0.5000, 0.0000, 0.5000], [0.0000, 0.5000, 0.5000], [0.5000, 0.5000, 0.0000]], "dos_at_fermi_per_ev_atom": 1.2060, "polymorph_energy_ev_per_atom": 0.129, "final_energy_ev_per_atom": -6.2979, "m_tot_mub_per_fu": 1.15, "sg": "Pmmm (47)", "delta_e_f_ev_per_atom": 0.2638}